# 1
# Na3Sr2Ca2

Crystalline Na3Sr2Ca2 at its relaxed geometry (GGA-PBE, the Alexandria database).

a b c (Å): 3.958 9.255 9.903
angles (deg): 62.77 78.59 77.90
Space group P-1 (No. 2)
Inequivalent atoms, fractional coordinates:
Na  0.000  0.000  0.000 x1
Na  0.304  0.129  0.266 x2
Sr  0.362  0.444  0.831 x2
Ca  0.081  0.272  0.565 x2

calculated density	1.72	g cm⁻³
formation energy	0.07	eV/atom
total magnetic moment	0.000	μB per atom
offset from the most stable computed form	19	meV/atom

# 2
# InP2Cl

Crystalline InP2Cl at its relaxed geometry (GGA-PBE, the Alexandria database).

a b c (Å): 5.926 3.421 10.477
angles (deg): 90.00 100.77 90.00
Space group Cm (No. 8)
Inequivalent atoms, fractional coordinates:
In  0.000  0.000  0.000 x2
P  0.318  0.500  0.457 x2
P  0.446  0.000  0.339 x2
Cl  0.273  0.000  0.815 x2

calculated density	3.38	g cm⁻³
raw formation energy	-250.4	meV/atom
total magnetic moment	0.000	μB per atom
offset from the most stable computed form	0	meV/atom

# 3
# Ba2Na2I

Crystalline Ba2Na2I at its relaxed geometry (GGA-PBE, the Alexandria database).

a b c (Å): 9.742 9.742 4.976
angles (deg): 90.00 90.00 90.00
Space group P4/mbm (No. 127)
Inequivalent atoms, fractional coordinates:
Ba  0.173  0.327  0.000 x4
Na  0.123  0.623  0.500 x4
I  0.000  0.000  0.500 x2

calculated density	3.15	g cm⁻³
raw formation energy	-300.2	meV/atom
total magnetic moment	0.000	μB per atom
offset from the most stable computed form	95	meV/atom

# 4
# SbS2O

Crystalline SbS2O at its relaxed geometry (GGA-PBE, the Alexandria database).

a b c (Å): 3.1542 3.1542 24.6561
angles (deg): 90.00 90.00 120.00
Space group R-3m (No. 166, hexagonal axes)
Inequivalent atoms, fractional coordinates:
Sb  0.0000  0.0000  0.0000 x3
S  0.0000  0.0000  0.1054 x6
O  0.0000  0.0000  0.5000 x3

calculated density	4.73	g cm⁻³
raw formation energy	861.8	meV/atom
total magnetic moment	0.000	μB per atom
offset from the most stable computed form	744	meV/atom

# 5
# CsBi4Se7

Crystalline CsBi4Se7 at its relaxed geometry (GGA-PBE, the Alexandria database).

a b c (Å): 23.810 4.264 19.818
angles (deg): 90.00 122.36 90.00
Space group C2/m (No. 12)
Inequivalent atoms, fractional coordinates:
Cs  0.031  0.000  0.346 x4
Bi  0.134  0.000  0.063 x4
Bi  0.159  0.500  0.890 x4
Bi  0.207  0.000  0.738 x4
Bi  0.232  0.500  0.574 x4
Se  0.048  0.500  0.067 x4
Se  0.075  0.000  0.882 x4
Se  0.114  0.500  0.727 x4
Se  0.144  0.000  0.569 x4
Se  0.173  0.500  0.410 x4
Se  0.196  0.000  0.234 x4
Se  0.230  0.500  0.078 x4

calculated density	5.95	g cm⁻³
raw formation energy	-522.0	meV/atom
total magnetic moment	0.000	μB per atom

# 6
# LaYSb2

Crystalline LaYSb2 at its relaxed geometry (GGA-PBE, the Alexandria database).

a b c (Å): 4.826 6.014 8.236
angles (deg): 90.00 90.00 90.00
Space group Cmmm (No. 65)
Inequivalent atoms, fractional coordinates:
La  0.000  0.000  0.000 x2
Y  0.000  0.000  0.500 x2
Sb  0.000  0.500  0.261 x4

calculated density	6.55	g cm⁻³
raw formation energy	-961.7	meV/atom
total magnetic moment	0.000	μB per atom
offset from the most stable computed form	257	meV/atom

# 7
# Hf3SbC

Crystalline Hf3SbC at its relaxed geometry (GGA-PBE, the Alexandria database).

a b c (Å): 4.623 4.399 9.232
angles (deg): 90.00 90.00 90.00
Space group Pmma (No. 51)
Inequivalent atoms, fractional coordinates:
Hf  0.250  0.000  0.113 x2
Hf  0.250  0.000  0.619 x2
Hf  0.250  0.500  0.872 x2
Sb  0.250  0.500  0.361 x2
C  0.250  0.000  0.864 x2

calculated density	11.84	g cm⁻³
raw formation energy	-513.7	meV/atom
total magnetic moment	0.000	μB per atom

# 8
# CdCu3F

Crystalline CdCu3F at its relaxed geometry (GGA-PBE, the Alexandria database).

a b c (Å): 4.211 4.211 4.211
angles (deg): 90.00 90.00 90.00
Space group Pm-3m (No. 221)
Inequivalent atoms, fractional coordinates:
Cd  0.000  0.000  0.000 x1
Cu  0.000  0.500  0.500 x3
F  0.500  0.500  0.500 x1

calculated density	7.16	g cm⁻³
raw formation energy	36.6	meV/atom
total magnetic moment	0.000	μB per atom
offset from the most stable computed form	0	meV/atom

# 9
# HoZrAlTl

Crystalline HoZrAlTl at its relaxed geometry (GGA-PBE, the Alexandria database).

a b c (Å): 7.185 7.185 7.185
angles (deg): 90.00 90.00 90.00
Space group F-43m (No. 216)
Inequivalent atoms, fractional coordinates:
Ho  0.000  0.000  0.000 x4
Zr  0.000  0.000  0.500 x4
Al  0.250  0.250  0.750 x4
Tl  0.250  0.250  0.250 x4

calculated density	8.73	g cm⁻³
formation energy	-0.16	eV/atom
total magnetic moment	0.000	μB per atom

# 10
# Cs2Pm2BiO6

Crystalline Cs2Pm2BiO6 at its relaxed geometry (GGA-PBE, the Alexandria database).

a b c (Å): 6.246 10.790 7.362
angles (deg): 90.00 105.76 90.00
Space group C2/m (No. 12)
Inequivalent atoms, fractional coordinates:
Cs  0.000  0.166  0.000 x4
Pm  0.000  0.334  0.500 x4
Bi  0.000  0.000  0.500 x2
O  0.213  0.165  0.661 x8
O  0.233  0.500  0.662 x4

calculated density	5.99	g cm⁻³
raw formation energy	-2149.4	meV/atom
total magnetic moment	0.074	μB per atom

# 11
# ErCuBr6

Crystalline ErCuBr6 at its relaxed geometry (GGA-PBE, the Alexandria database).

a b c (Å): 5.816 7.147 7.751
angles (deg): 66.87 72.11 87.59
Space group P-1 (No. 2)
Inequivalent atoms, fractional coordinates:
Er  0.000  0.000  0.000 x1
Cu  0.500  0.500  0.000 x1
Br  0.004  0.192  0.624 x2
Br  0.295  0.376  0.834 x2
Br  0.413  0.834  0.822 x2

calculated density	4.20	g cm⁻³
raw formation energy	-915.0	meV/atom
total magnetic moment	0.000	μB per atom

# 12
# ZrTlNi2

Crystalline ZrTlNi2 at its relaxed geometry (GGA-PBE, the Alexandria database).

a b c (Å): 4.2328 4.2328 13.7642
angles (deg): 90.00 90.00 120.00
Space group R3m (No. 160, hexagonal axes)
Inequivalent atoms, fractional coordinates:
Zr  0.0000  0.0000  0.0000 x3
Tl  0.0000  0.0000  0.7929 x3
Ni  0.0000  0.0000  0.2164 x3
Ni  0.0000  0.0000  0.5848 x3

calculated density	9.63	g cm⁻³
formation energy	-0.01	eV/atom
total magnetic moment	0.000	μB per atom

# 13
# AlNiRu

Crystalline AlNiRu at its relaxed geometry (GGA-PBE, the Alexandria database).

a b c (Å): 4.524 7.953 4.596
angles (deg): 90.00 109.25 90.00
Space group C2 (No. 5)
Inequivalent atoms, fractional coordinates:
Al  0.000  0.000  0.000 x2
Al  0.000  0.187  0.500 x2
Ni  0.000  0.342  0.000 x2
Ni  0.000  0.675  0.000 x2
Ru  0.000  0.518  0.500 x2
Ru  0.000  0.848  0.500 x2

calculated density	7.95	g cm⁻³
formation energy	-0.31	eV/atom
total magnetic moment	0.000	μB per atom